No. 1
# LaCdSi2, relaxed, DFT GGA-PBE
# space-group type: I4/mmm
# M_tot: 0.00 Bohr magnetons per cell
data_LaCdSi2
_cell_length_a 5.478
_cell_length_b 5.478
_cell_length_c 5.478
_cell_angle_alpha 131.27
_cell_angle_beta 131.27
_cell_angle_gamma 71.39
_space_group_name_H-M_alt 'P 1'
_space_group_IT_number 1
loop_
_space_group_symop_operation_xyz
'x,y,z'
loop_
_atom_site_label
_atom_site_fract_x
_atom_site_fract_y
_atom_site_fract_z
La1 0.750 0.250 0.500
Cd1 0.250 0.750 0.500
Si1 0.500 0.500 0.000
Si2 0.000 0.000 0.000



No. 2
# La6CdSi2, relaxed, DFT GGA-PBE
# space-group type: Immm
# M_tot: 0.00 Bohr magnetons per cell
data_La6CdSi2
_cell_length_a 8.993
_cell_length_b 8.993
_cell_length_c 8.993
_cell_angle_alpha 107.36
_cell_angle_beta 109.96
_cell_angle_gamma 111.12
_space_group_name_H-M_alt 'P 1'
_space_group_IT_number 1
loop_
_space_group_symop_operation_xyz
'x,y,z'
loop_
_atom_site_label
_atom_site_fract_x
_atom_site_fract_y
_atom_site_fract_z
La1 0.705 0.382 0.678
La2 0.793 0.245 0.038
La3 0.295 0.618 0.322
La4 0.548 0.726 0.822
La5 0.705 0.027 0.322
La6 0.096 0.274 0.822
La7 0.295 0.973 0.678
La8 0.207 0.755 0.962
La9 0.452 0.274 0.178
La10 0.904 0.726 0.178
La11 0.793 0.755 0.548
La12 0.207 0.245 0.452
Cd1 0.000 0.500 0.500
Cd2 0.000 0.000 0.000
Si1 0.629 0.000 0.629
Si2 0.371 0.000 0.371
Si3 0.500 0.613 0.113
Si4 0.500 0.387 0.887



No. 3
# LaCdSi2, relaxed, DFT GGA-PBE
# space-group type: F-43m
# M_tot: 0.00 Bohr magnetons per cell
data_LaCdSi2
_cell_length_a 5.043
_cell_length_b 5.043
_cell_length_c 5.043
_cell_angle_alpha 60.00
_cell_angle_beta 60.00
_cell_angle_gamma 60.00
_space_group_name_H-M_alt 'P 1'
_space_group_IT_number 1
loop_
_space_group_symop_operation_xyz
'x,y,z'
loop_
_atom_site_label
_atom_site_fract_x
_atom_site_fract_y
_atom_site_fract_z
Si1 0.250 0.250 0.250
Si2 0.000 0.000 0.000
Cd1 0.500 0.500 0.500
La1 0.750 0.750 0.750



No. 4
# LaCd3Si, relaxed, DFT GGA-PBE
# space-group type: Pm-3m
# offset from the most stable computed form: 0 meV per atom
# M_tot: 0.00 Bohr magnetons per cell
data_LaCd3Si
_cell_length_a 5.152
_cell_length_b 5.152
_cell_length_c 5.152
_cell_angle_alpha 90.00
_cell_angle_beta 90.00
_cell_angle_gamma 90.00
_space_group_name_H-M_alt 'P 1'
_space_group_IT_number 1
loop_
_space_group_symop_operation_xyz
'x,y,z'
loop_
_atom_site_label
_atom_site_fract_x
_atom_site_fract_y
_atom_site_fract_z
Si1 0.000 0.000 0.000
Cd1 0.500 0.000 0.000
Cd2 0.000 0.000 0.500
Cd3 0.000 0.500 0.000
La1 0.500 0.500 0.500



No. 5
# La3CdSi, relaxed, DFT GGA-PBE
# space-group type: P2_1/c
# offset from the most stable computed form: 0 meV per atom
# M_tot: 0.00 Bohr magnetons per cell
data_La3CdSi
_cell_length_a 8.214
_cell_length_b 8.244
_cell_length_c 9.815
_cell_angle_alpha 111.51
_cell_angle_beta 90.00
_cell_angle_gamma 90.00
_space_group_name_H-M_alt 'P 1'
_space_group_IT_number 1
loop_
_space_group_symop_operation_xyz
'x,y,z'
loop_
_atom_site_label
_atom_site_fract_x
_atom_site_fract_y
_atom_site_fract_z
Si1 0.019 0.341 0.927
Si2 0.981 0.659 0.073
Si3 0.481 0.841 0.927
Si4 0.519 0.159 0.073
La1 0.812 0.397 0.201
La2 0.312 0.103 0.799
La3 0.688 0.897 0.201
La4 0.823 0.975 0.865
La5 0.323 0.525 0.135
La6 0.486 0.708 0.571
La7 0.014 0.208 0.571
La8 0.677 0.475 0.865
La9 0.514 0.292 0.429
La10 0.986 0.792 0.429
La11 0.177 0.025 0.135
La12 0.188 0.603 0.799
Cd1 0.161 0.446 0.410
Cd2 0.339 0.946 0.410
Cd3 0.839 0.554 0.590
Cd4 0.661 0.054 0.590



No. 6
# La5Cd2Si2, relaxed, DFT GGA-PBE
# space-group type: Cmce
# M_tot: 0.00 Bohr magnetons per cell
data_La5Cd2Si2
_cell_length_a 7.938
_cell_length_b 7.941
_cell_length_c 9.424
_cell_angle_alpha 90.00
_cell_angle_beta 65.09
_cell_angle_gamma 90.00
_space_group_name_H-M_alt 'P 1'
_space_group_IT_number 1
loop_
_space_group_symop_operation_xyz
'x,y,z'
loop_
_atom_site_label
_atom_site_fract_x
_atom_site_fract_y
_atom_site_fract_z
Cd1 0.223 0.000 0.554
Cd2 0.723 0.500 0.554
Cd3 0.777 0.000 0.446
Cd4 0.277 0.500 0.446
Si1 0.391 0.888 0.000
Si2 0.891 0.612 0.000
Si3 0.609 0.112 0.000
Si4 0.109 0.388 0.000
La1 0.313 0.682 0.751
La2 0.564 0.818 0.249
La3 0.687 0.318 0.249
La4 0.187 0.182 0.249
La5 0.936 0.318 0.751
La6 0.000 0.000 0.000
La7 0.064 0.682 0.249
La8 0.436 0.182 0.751
La9 0.500 0.500 0.000
La10 0.813 0.818 0.751



No. 7
# LaCdSi2, relaxed, DFT GGA-PBE
# space-group type: P4/mmm
# M_tot: 0.00 Bohr magnetons per cell
data_LaCdSi2
_cell_length_a 3.681
_cell_length_b 3.681
_cell_length_c 6.581
_cell_angle_alpha 90.00
_cell_angle_beta 90.00
_cell_angle_gamma 90.00
_space_group_name_H-M_alt 'P 1'
_space_group_IT_number 1
loop_
_space_group_symop_operation_xyz
'x,y,z'
loop_
_atom_site_label
_atom_site_fract_x
_atom_site_fract_y
_atom_site_fract_z
La1 0.500 0.500 0.750
Cd1 0.500 0.500 0.250
Si1 0.000 0.000 0.437
Si2 0.000 0.000 0.063



No. 8
# La4CdSi, relaxed, DFT GGA-PBE
# space-group type: F-43m
# offset from the most stable computed form: 640 meV per atom
# M_tot: 0.04 Bohr magnetons per cell
data_La4CdSi
_cell_length_a 6.408
_cell_length_b 6.408
_cell_length_c 6.408
_cell_angle_alpha 60.00
_cell_angle_beta 60.00
_cell_angle_gamma 60.00
_space_group_name_H-M_alt 'P 1'
_space_group_IT_number 1
loop_
_space_group_symop_operation_xyz
'x,y,z'
loop_
_atom_site_label
_atom_site_fract_x
_atom_site_fract_y
_atom_site_fract_z
La1 0.868 0.377 0.377
La2 0.377 0.377 0.868
La3 0.377 0.868 0.377
La4 0.377 0.377 0.377
Si1 0.750 0.750 0.750
Cd1 0.000 0.000 0.000



Number 1: E_form (uncorrected) -0.017 eV/atom. Number 2: E_form (uncorrected) -0.422 eV/atom. Number 3: E_form (uncorrected) 0.086 eV/atom. Number 4: E_form (uncorrected) 0.149 eV/atom. Number 5: E_form (uncorrected) -0.352 eV/atom. Number 6: E_form (uncorrected) -0.468 eV/atom. Number 7: E_form (uncorrected) -0.077 eV/atom. Number 8: E_form (uncorrected) 0.313 eV/atom.